DFT (PBE) results for crystalline Li2Er3Cd4 at its relaxed geometry.

CIF file:
```
data_Li2Er3Cd4
_cell_length_a 10.769
_cell_length_b 4.964
_cell_length_c 9.232
_cell_angle_alpha 90.00
_cell_angle_beta 122.39
_cell_angle_gamma 90.00
_symmetry_space_group_name_H-M 'C 1 2/m 1'
_symmetry_Int_Tables_number 12
loop_
_symmetry_equiv_pos_as_xyz
'x,y,z'
'-x,-y,-z'
'-x,y,-z'
'x,-y,z'
'x+1/2,y+1/2,z'
'-x+1/2,-y+1/2,-z'
'-x+1/2,y+1/2,-z'
'x+1/2,-y+1/2,z'
loop_
_atom_site_label
_atom_site_type_symbol
_atom_site_fract_x
_atom_site_fract_y
_atom_site_fract_z
_atom_site_occupancy
Li1 Li 0.114 0.000 0.282 1
Er1 Er 0.000 0.500 0.000 1
Er2 Er 0.166 0.000 0.668 1
Cd1 Cd 0.063 0.500 0.390 1
Cd2 Cd 0.217 0.000 0.059 1
```

Results
Energy relative to the elements in eV/atom: -0.21
Crystal system: monoclinic

=====

DFT (PBE) results for crystalline RbPt3Pb at its relaxed geometry.

CIF file:
```
data_RbPt3Pb
_cell_length_a 5.231
_cell_length_b 5.231
_cell_length_c 5.231
_cell_angle_alpha 90.00
_cell_angle_beta 90.00
_cell_angle_gamma 90.00
_symmetry_space_group_name_H-M 'P m -3 m'
_symmetry_Int_Tables_number 221
_symmetry_space_group_name_Hall '-P 4 2 3'
loop_
_atom_site_label
_atom_site_type_symbol
_atom_site_fract_x
_atom_site_fract_y
_atom_site_fract_z
_atom_site_occupancy
Rb1 Rb 0.000 0.000 0.000 1
Pt1 Pt 0.000 0.500 0.500 1
Pb1 Pb 0.500 0.500 0.500 1
```

Results
Energy relative to the elements in eV/atom: 0.66
Crystal system: cubic

=====

DFT (PBE) results for crystalline Rb3Tl3GeBr8 at its relaxed geometry.

CIF file:
```
data_Rb3Tl3GeBr8
_cell_length_a 9.5538
_cell_length_b 9.5538
_cell_length_c 23.8928
_cell_angle_alpha 90.00
_cell_angle_beta 90.00
_cell_angle_gamma 120.00
_symmetry_space_group_name_H-M 'R -3 m'
_symmetry_Int_Tables_number 166
_symmetry_space_group_name_Hall '-R 3 2"'
loop_
_atom_site_label
_atom_site_type_symbol
_atom_site_fract_x
_atom_site_fract_y
_atom_site_fract_z
_atom_site_occupancy
Rb1 Rb 0.0000 0.5000 0.0000 1
Tl1 Tl 0.0000 0.5000 0.5000 1
Ge1 Ge 0.0000 0.0000 0.5000 1
Br1 Br 0.0000 0.0000 0.2474 1
Br2 Br 0.0481 0.5241 0.2363 1
```

Results
Crystal system: trigonal
Uncorrected formation energy in meV/atom: -1157

=====

DFT (PBE) results for crystalline Pa2ReRuN6 at its relaxed geometry.

CIF file:
```
data_Pa2ReRuN6
_cell_length_a 5.658
_cell_length_b 5.658
_cell_length_c 4.045
_cell_angle_alpha 90.00
_cell_angle_beta 90.00
_cell_angle_gamma 90.00
_symmetry_space_group_name_H-M 'P 4 m m'
_symmetry_Int_Tables_number 99
loop_
_symmetry_equiv_pos_as_xyz
'x,y,z'
'-y,x,z'
'-x,-y,z'
'y,-x,z'
'-x,y,z'
'y,x,z'
'x,-y,z'
'-y,-x,z'
loop_
_atom_site_label
_atom_site_type_symbol
_atom_site_fract_x
_atom_site_fract_y
_atom_site_fract_z
_atom_site_occupancy
Pa1 Pa 0.000 0.500 0.000 1
Re1 Re 0.000 0.000 0.622 1
Ru1 Ru 0.500 0.500 0.678 1
N1 N 0.000 0.000 0.172 1
N2 N 0.246 0.246 0.728 1
N3 N 0.500 0.500 0.183 1
```

Results
Crystal system: tetragonal
Uncorrected formation energy in meV/atom: -496

=====

DFT (PBE) results for crystalline Ca2DyUP4 at its relaxed geometry.

CIF file:
```
data_Ca2DyUP4
_cell_length_a 6.984
_cell_length_b 4.064
_cell_length_c 7.036
_cell_angle_alpha 90.00
_cell_angle_beta 109.16
_cell_angle_gamma 90.00
_symmetry_space_group_name_H-M 'P 1 2/m 1'
_symmetry_Int_Tables_number 10
loop_
_symmetry_equiv_pos_as_xyz
'x,y,z'
'-x,-y,-z'
'-x,y,-z'
'x,-y,z'
loop_
_atom_site_label
_atom_site_type_symbol
_atom_site_fract_x
_atom_site_fract_y
_atom_site_fract_z
_atom_site_occupancy
Ca1 Ca 0.000 0.000 0.000 1
Ca2 Ca 0.500 0.500 0.000 1
Dy1 Dy 0.000 0.500 0.500 1
U1 U 0.500 0.000 0.500 1
P1 P 0.256 0.000 0.729 1
P2 P 0.266 0.500 0.274 1
```

Results
Energy relative to the elements in eV/atom: -1.22
Crystal system: monoclinic

=====

DFT (PBE) results for crystalline Li2HfAgH at its relaxed geometry.

CIF file:
```
data_Li2HfAgH
_cell_length_a 4.055
_cell_length_b 4.055
_cell_length_c 4.488
_cell_angle_alpha 90.00
_cell_angle_beta 90.00
_cell_angle_gamma 90.00
_symmetry_space_group_name_H-M 'P 4/m m m'
_symmetry_Int_Tables_number 123
_symmetry_space_group_name_Hall '-P 4 2'
loop_
_atom_site_label
_atom_site_type_symbol
_atom_site_fract_x
_atom_site_fract_y
_atom_site_fract_z
_atom_site_occupancy
Li1 Li 0.000 0.500 0.000 1
Hf1 Hf 0.000 0.000 0.500 1
Ag1 Ag 0.500 0.500 0.500 1
H1 H 0.500 0.500 0.000 1
```

Results
Electronic total energy in eV/atom: -3.648
Crystal system: tetragonal

=====

DFT (PBE) results for crystalline NaBi2AsBr at its relaxed geometry.

CIF file:
```
data_NaBi2AsBr
_cell_length_a 5.626
_cell_length_b 5.626
_cell_length_c 5.769
_cell_angle_alpha 90.00
_cell_angle_beta 90.00
_cell_angle_gamma 90.00
_symmetry_space_group_name_H-M 'P 4/m m m'
_symmetry_Int_Tables_number 123
_symmetry_space_group_name_Hall '-P 4 2'
loop_
_atom_site_label
_atom_site_type_symbol
_atom_site_fract_x
_atom_site_fract_y
_atom_site_fract_z
_atom_site_occupancy
Na1 Na 0.000 0.000 0.000 1
Bi1 Bi 0.000 0.500 0.500 1
As1 As 0.500 0.500 0.500 1
Br1 Br 0.500 0.500 0.000 1
```

Results
Crystal system: tetragonal
Uncorrected formation energy in meV/atom: 159

=====

DFT (PBE) results for crystalline AlCo3 at its relaxed geometry.

CIF file:
```
data_AlCo3
_cell_length_a 6.763
_cell_length_b 6.980
_cell_length_c 4.220
_cell_angle_alpha 90.00
_cell_angle_beta 90.00
_cell_angle_gamma 90.00
_symmetry_space_group_name_H-M 'C m c m'
_symmetry_Int_Tables_number 63
_symmetry_space_group_name_Hall '-C 2c 2'
loop_
_atom_site_label
_atom_site_type_symbol
_atom_site_fract_x
_atom_site_fract_y
_atom_site_fract_z
_atom_site_occupancy
Al1 Al 0.000 0.098 0.250 1
Co1 Co 0.000 0.434 0.250 1
Co2 Co 0.168 0.239 0.750 1
```

Results
Energy relative to the elements in eV/atom: 0.10
Crystal system: orthorhombic

=====

Going through the records in order, we get volume values of 23.15; 28.62; 41.97; 12.95; 23.58; 14.75; 36.52; 12.45 Å³/atom.